A relaxed structure of TiGa2Ni. Source: Alexandria via LeMat-Bulk, functional PBE-GGA.

Cell lengths 6.877, 6.877, 5.285 Å; angles 90.00, 90.00, 90.00 degrees
Space group I-42d (No. 122)
Inequivalent atoms, fractional coordinates:
Ti  0.000  0.000  0.000 [4 per cell]
Ga  0.216  0.250  0.625 [8 per cell]
Ni  0.000  0.000  0.500 [4 per cell]

Results
DFT total energy = -81.6 eV/cell
Formation enthalpy at 0 K = -15.9 kJ per mole of atoms
Total moment = 0.00 μB per formula unit